## NaMoAsSe2 (PBEsol)

Data for a geometry-optimized NaMoAsSe2 structure.

Cell lengths 4.971, 4.971, 4.837 Å; angles 90.00, 90.00, 90.00 degrees
Positions (direct):
Na: 0.000 0.000 0.000
Mo: 0.500 0.500 0.500
As: 0.500 0.500 0.000
Se: 0.000 0.500 0.500
Se: 0.500 0.000 0.500

Results
Space group ... P4/mmm, No. 123
Total moment ... 0.0 Bohr magnetons per cell
E_form (uncorrected) ... -0.089 eV per atom